## Al2CdP (meta-GGA SCAN)

Data for a PBEsol-optimized structure of Al2CdP.

Properties
DFT total energy: -13.80 eV per atom
ΔH_f (0 K): 0.28 eV per atom
energy relative to the lowest polymorph listed for this composition: 275 meV/atom

Cell: 5.151 5.151 5.151 Å, 133.83 133.83 67.36°
Fractional coordinates of all 4 atoms:
Al1 0.000 0.000 0.000
Al2 0.750 0.250 0.500
Cd1 0.500 0.500 0.000
P1 0.250 0.750 0.500

***

## AlCdP2 (meta-GGA SCAN)

Data for a PBEsol-optimized structure of AlCdP2.

Properties
DFT total energy: -14.95 eV per atom
ΔH_f (0 K): -0.21 eV per atom
energy relative to the lowest polymorph listed for this composition: 0 meV/atom

Cell: 6.807 6.807 6.807 Å, 130.32 130.32 72.90°
Fractional coordinates of all 8 atoms:
Al1 0.000 0.000 0.000
Al2 0.750 0.250 0.500
Cd1 0.250 0.750 0.500
Cd2 0.500 0.500 0.000
P1 0.100 0.625 0.975
P2 0.375 0.350 0.475
P3 0.650 0.125 0.025
P4 0.875 0.900 0.525

***

The lowest ΔH_f (0 K) belongs to which entry?
AlCdP2